[1]
VSi2Ag GGA-PBE relaxed; formation energy (no corrections) = 0.35 eV per atom; VASP energy = -5.356 eV/atom; space-group type = Fm-3m (225)
1.0
0.0000 3.0889 3.0889
3.0889 0.0000 3.0889
3.0889 3.0889 0.0000
Si Ag V
2 1 1
Direct
0.2500 0.2500 0.2500
0.7500 0.7500 0.7500
0.5000 0.5000 0.5000
0.0000 0.0000 0.0000


[2]
VSiAg2W GGA-PBE relaxed; formation energy (no corrections) = 1.70 eV per atom; VASP energy = -4.935 eV/atom; space-group type = P4/mmm (123)
1.0
-2.4603 -4.0414 -2.0043
1.6233 -2.5766 3.2026
-4.0973 1.0467 2.9189
Si V Ag W
1 1 2 1
Direct
0.5000 0.5000 0.5000
0.0000 0.5000 0.0000
0.5000 0.0000 0.0000
0.0000 0.0000 0.5000
0.0000 0.0000 0.0000


[3]
SiAg2W GGA-PBE relaxed; formation energy (no corrections) = 0.54 eV per atom; VASP energy = -5.480 eV/atom; space-group type = Cmmm (65)
1.0
-0.4655 -1.9283 -1.9215
0.6190 -0.9787 2.5072
-9.3924 -0.0313 2.3068
W Si Ag
1 1 2
Direct
0.5000 0.5000 0.7500
0.5000 0.5000 0.2500
0.0000 0.0000 0.4932
0.0000 0.0000 0.0068


[4]
SiAgW2 GGA-PBE relaxed; formation energy (no corrections) = 0.43 eV per atom; VASP energy = -8.117 eV/atom; space-group type = Immm (71)
1.0
-0.7744 4.3914 -2.9272
-4.9687 1.1133 -1.5887
3.3283 -0.7670 4.0971
W Ag Si
2 1 1
Direct
0.0208 0.0208 0.0000
0.4792 0.4792 0.0000
0.7500 0.2500 0.5000
0.2500 0.7500 0.5000


[5]
SiAgW2 GGA-PBE relaxed; formation energy (no corrections) = 0.58 eV per atom; VASP energy = -7.967 eV/atom; space-group type = I4/mmm (139)
1.0
-0.6464 -0.1239 4.9662
-3.9432 -2.7205 1.4652
3.8821 -0.7970 -3.0645
Si W Ag
1 2 1
Direct
0.7500 0.2500 0.5000
0.0000 0.0000 0.0000
0.5000 0.5000 0.0000
0.2500 0.7500 0.5000


[6]
SiAgW2 GGA-PBE relaxed; formation energy (no corrections) = 0.46 eV per atom; VASP energy = -8.088 eV/atom; space-group type = P4mm (99)
1.0
2.7262 0.0000 0.0000
0.0000 2.7262 0.0000
0.0000 0.0000 8.6693
W Ag Si
2 1 1
Direct
0.5000 0.5000 0.2428
0.0000 0.0000 0.9854
0.0000 0.0000 0.5067
0.5000 0.5000 0.7650